The following is a PBE calculation of a relaxed structure of Mg3Cl, from Alexandria via LeMat-Bulk.

```
8
Lattice="-2.347 -5.080 -0.373 3.699 -1.256 -6.178 4.129 -2.121 2.903" Properties=species:S:1:pos:R:3 pbc="T T T"
Mg 0.240 -3.266 0.807
Mg 4.565 -2.023 -1.180
Mg 3.246 -1.207 -3.992
Mg 1.657 -0.668 -1.339
Mg 3.147 -4.621 0.967
Mg 5.258 -5.338 -2.559
Cl 1.693 -0.869 1.190
Cl 3.112 -4.419 -1.563
```

Computed properties:
Space-group type = Pmmn, No. 59
VASP energy = -1.88 eV per atom
Crystal system = orthorhombic


The following is a PBE calculation of a relaxed structure of MgCl, from Alexandria via LeMat-Bulk.

```
2
Lattice="4.458 0.000 0.000 2.229 3.860 0.000 2.229 1.287 3.640" Properties=species:S:1:pos:R:3 pbc="T T T"
Cl 0.000 0.000 0.000
Mg 6.686 3.860 2.730
```

Computed properties:
Space-group type = F-43m, No. 216
VASP energy = -2.38 eV per atom
Crystal system = cubic


The following is a PBE calculation of a relaxed structure of MgCl4, from Alexandria via LeMat-Bulk.

```
5
Lattice="4.711 1.069 2.346 -3.828 3.060 2.195 -1.221 -5.181 0.714" Properties=species:S:1:pos:R:3 pbc="T T T"
Mg 0.000 0.000 0.000
Cl 2.356 0.535 1.173
Cl -0.169 -0.526 2.628
Cl -1.914 1.530 1.098
Cl -0.610 -2.590 0.357
```

Computed properties:
Space-group type = Im-3m, No. 229
VASP energy = -2.37 eV per atom
Crystal system = cubic


The following is a PBE calculation of a relaxed structure of Mg3Cl, from Alexandria via LeMat-Bulk.

```
4
Lattice="6.046 -0.022 0.000 3.046 5.223 0.000 -4.546 -2.601 3.021" Properties=species:S:1:pos:R:3 pbc="T T T"
Cl 0.000 0.000 0.000
Mg 1.523 2.612 1.511
Mg 4.546 2.601 0.000
Mg 3.023 -0.011 1.511
```

Computed properties:
Space-group type = I4/mmm, No. 139
VASP energy = -1.87 eV per atom
Crystal system = tetragonal


The following is a PBE calculation of a relaxed structure of Mg3Cl, from Alexandria via LeMat-Bulk.

```
4
Lattice="5.802 -0.029 -0.081 -2.567 5.204 -0.081 -2.567 -4.106 3.198" Properties=species:S:1:pos:R:3 pbc="T T T"
Cl 0.000 0.000 0.000
Mg 1.618 -2.067 1.558
Mg 1.618 2.588 -0.081
Mg -2.567 0.549 1.558
```

Computed properties:
Space-group type = R-3m, No. 166
VASP energy = -1.92 eV per atom
Crystal system = trigonal


The following is a PBE calculation of a relaxed structure of Mg3Cl, from Alexandria via LeMat-Bulk.

```
4
Lattice="5.476 0.001 0.000 -1.756 5.187 0.000 0.000 0.000 3.273" Properties=species:S:1:pos:R:3 pbc="T T T"
Cl 0.000 0.000 0.000
Mg -0.878 2.593 1.636
Mg 2.738 0.000 1.636
Mg 1.860 2.594 0.000
```

Computed properties:
Space-group type = Cmmm, No. 65
VASP energy = -1.94 eV per atom
Crystal system = orthorhombic


The following is a PBE calculation of a relaxed structure of MgCl3, from Alexandria via LeMat-Bulk.

```
16
Lattice="6.735 0.000 0.000 0.000 7.305 0.000 0.000 0.000 8.701" Properties=species:S:1:pos:R:3 pbc="T T T"
Mg 4.368 6.399 6.526
Mg 1.000 4.559 2.175
Mg 5.735 2.747 6.526
Mg 2.367 0.906 2.175
Cl 1.987 6.313 6.526
Cl 5.355 4.645 2.175
Cl 1.381 2.660 6.526
Cl 4.749 0.993 2.175
Cl 4.947 0.956 8.053
Cl 1.579 2.697 0.648
Cl 5.156 4.609 4.999
Cl 1.789 6.349 3.702
Cl 1.789 6.349 0.648
Cl 5.156 4.609 8.053
Cl 1.579 2.697 3.702
Cl 4.947 0.956 4.999
```

Computed properties:
Space-group type = Pnma, No. 62
VASP energy = -2.93 eV per atom
Crystal system = orthorhombic


The following is a PBE calculation of a relaxed structure of MgCl5, from Alexandria via LeMat-Bulk.

```
6
Lattice="3.241 -0.342 0.413 -0.688 6.750 0.395 -0.714 0.579 8.832" Properties=species:S:1:pos:R:3 pbc="T T T"
Mg -0.113 6.584 4.144
Cl 2.712 0.442 0.621
Cl -0.481 5.388 6.203
Cl 2.333 1.401 4.348
Cl 1.570 5.255 2.924
Cl 2.323 2.539 8.146
```

Computed properties:
Space-group type = P1, No. 1
VASP energy = -2.55 eV per atom
Crystal system = triclinic